1.
Density functional theory data (PBE) for a relaxed Sm2InAs3Rh4 crystal.

Properties
The raw total energy comes out at -0.4693 Ry/atom. The formation energy comes out at -0.8320 eV/atom. For the density of states at the Fermi level, the calculation gives 4.34 states/eV/cell. The space group is No. 115.

a b c (Å): 4.120 4.120 11.126
angles (deg): 90.00 90.00 90.00
Fractional positions:
Sm: 0.000 0.500 0.238
Sm: 0.500 0.000 0.762
In: 0.000 0.000 0.500
As: 0.000 0.500 0.870
As: 0.500 0.000 0.130
As: 0.500 0.500 0.500
Rh: 0.000 0.000 0.000
Rh: 0.000 0.500 0.656
Rh: 0.500 0.000 0.344
Rh: 0.500 0.500 0.000



2.
Density functional theory data (PBE) for a relaxed InSnAsRh2 crystal.

Properties
The raw total energy comes out at -0.3229 Ry/atom. The formation energy comes out at 0.8255 eV/atom. For the density of states at the Fermi level, the calculation gives 2.94 states/eV/cell. The space group is No. 123.

a b c (Å): 4.933 4.933 5.060
angles (deg): 90.00 90.00 90.00
Fractional positions:
In: 0.000 0.000 0.000
Sn: 0.500 0.500 0.500
As: 0.500 0.500 0.000
Rh: 0.000 0.500 0.500
Rh: 0.500 0.000 0.500



3.
Density functional theory data (PBE) for a relaxed SrInAs2Rh5 crystal.

Properties
The raw total energy comes out at -0.4393 Ry/atom. The formation energy comes out at -0.3688 eV/atom. For the density of states at the Fermi level, the calculation gives 2.47 states/eV/cell. The space group is No. 123.

a b c (Å): 4.171 4.171 10.523
angles (deg): 90.00 90.00 90.00
Fractional positions:
Sr: 0.000 0.000 0.000
In: 0.000 0.000 0.500
As: 0.500 0.500 0.224
As: 0.500 0.500 0.776
Rh: 0.000 0.500 0.336
Rh: 0.000 0.500 0.664
Rh: 0.500 0.000 0.336
Rh: 0.500 0.000 0.664
Rh: 0.500 0.500 0.000



4.
Density functional theory data (PBE) for a relaxed Sr2InAs3Rh4 crystal.

Properties
The raw total energy comes out at -0.4144 Ry/atom. The formation energy comes out at -0.6928 eV/atom. For the density of states at the Fermi level, the calculation gives 5.83 states/eV/cell. The space group is No. 115.

a b c (Å): 4.295 4.295 10.719
angles (deg): 90.00 90.00 90.00
Fractional positions:
Sr: 0.000 0.500 0.246
Sr: 0.500 0.000 0.754
In: 0.000 0.000 0.500
As: 0.000 0.500 0.873
As: 0.500 0.000 0.127
As: 0.500 0.500 0.500
Rh: 0.000 0.000 0.000
Rh: 0.000 0.500 0.645
Rh: 0.500 0.000 0.355
Rh: 0.500 0.500 0.000



5.
Density functional theory data (PBE) for a relaxed ThInAs2Rh5 crystal.

Properties
The raw total energy comes out at -0.5063 Ry/atom. The formation energy comes out at -0.6426 eV/atom. For the density of states at the Fermi level, the calculation gives 5.33 states/eV/cell. The space group is No. 123.

a b c (Å): 4.231 4.231 8.671
angles (deg): 90.00 90.00 90.00
Fractional positions:
Th: 0.000 0.000 0.000
In: 0.000 0.000 0.500
As: 0.500 0.500 0.149
As: 0.500 0.500 0.851
Rh: 0.000 0.500 0.279
Rh: 0.000 0.500 0.721
Rh: 0.500 0.000 0.279
Rh: 0.500 0.000 0.721
Rh: 0.500 0.500 0.500



6.
Density functional theory data (PBE) for a relaxed Th2InAs3Rh4 crystal.

Properties
The raw total energy comes out at -0.5113 Ry/atom. The formation energy comes out at -0.8633 eV/atom. For the density of states at the Fermi level, the calculation gives 5.76 states/eV/cell. The space group is No. 115.

a b c (Å): 4.123 4.123 11.266
angles (deg): 90.00 90.00 90.00
Fractional positions:
Th: 0.000 0.500 0.236
Th: 0.500 0.000 0.764
In: 0.000 0.000 0.500
As: 0.000 0.500 0.872
As: 0.500 0.000 0.128
As: 0.500 0.500 0.500
Rh: 0.000 0.000 0.000
Rh: 0.000 0.500 0.659
Rh: 0.500 0.000 0.341
Rh: 0.500 0.500 0.000